No. 1
Below is a crystal of Pr3Pt4 relaxed with PBEsol, with properties calculated at the SCAN level.

a = 5.771 Å, b = 8.078 Å, c = 8.078 Å
α = 114.52°, β = 103.78°, γ = 103.78°
Positions (direct):
Pr: 0.595 0.879 0.625
Pr: 0.716 0.746 0.121
Pr: 0.284 0.254 0.879
Pr: 0.405 0.121 0.375
Pr: 0.970 0.375 0.254
Pr: 0.030 0.625 0.746
Pt: 0.555 0.499 0.335
Pt: 0.220 0.665 0.164
Pt: 0.056 0.836 0.501
Pt: 0.500 0.000 0.000
Pt: 0.944 0.164 0.499
Pt: 0.445 0.501 0.665
Pt: 0.780 0.335 0.836
Pt: 0.000 0.000 0.000

Results
E_form: -1232 meV/atom
symmetry: R-3 (148)

---

No. 2
Below is a crystal of PrSbPt relaxed with PBEsol, with properties calculated at the SCAN level.

a = 4.525 Å, b = 4.525 Å, c = 8.147 Å
α = 90.00°, β = 90.00°, γ = 120.00°
Positions (direct):
Pr: 0.000 0.000 0.000
Pr: 0.000 0.000 0.500
Sb: 0.667 0.333 0.750
Sb: 0.333 0.667 0.250
Pt: 0.667 0.333 0.250
Pt: 0.333 0.667 0.750

Results
ΔE_f (raw): -3.978 eV/f.u.
symmetry: P6_3/mmc (194)

---

No. 3
Below is a crystal of Pr3Sb4Pt3 relaxed with PBEsol, with properties calculated at the SCAN level.

a = 8.545 Å, b = 8.545 Å, c = 8.545 Å
α = 109.47°, β = 109.47°, γ = 109.47°
Positions (direct):
Pr: 0.125 0.250 0.375
Pr: 0.375 0.750 0.125
Pr: 0.750 0.625 0.875
Pr: 0.250 0.875 0.625
Pr: 0.875 0.125 0.750
Pr: 0.625 0.375 0.250
Sb: 0.337 0.337 0.837
Sb: 0.500 0.163 0.500
Sb: 0.000 0.500 0.663
Sb: 0.163 0.000 0.000
Sb: 0.500 0.663 0.500
Sb: 0.837 0.837 0.337
Sb: 0.000 0.500 0.163
Sb: 0.663 0.000 0.000
Pt: 0.625 0.250 0.875
Pt: 0.875 0.750 0.625
Pt: 0.750 0.125 0.375
Pt: 0.250 0.375 0.125
Pt: 0.375 0.625 0.750
Pt: 0.125 0.875 0.250

Results
ΔE_f (raw): -12.186 eV/f.u.
symmetry: I-43d (220)

---

No. 4
Below is a crystal of Pr3Si11Pt23 relaxed with PBEsol, with properties calculated at the SCAN level.

a = 11.920 Å, b = 11.920 Å, c = 11.920 Å
α = 60.00°, β = 60.00°, γ = 60.00°
Positions (direct):
Pr: 0.500 0.500 0.000
Pr: 0.000 0.500 0.000
Pr: 0.000 0.500 0.500
Pr: 0.000 0.000 0.500
Pr: 0.500 0.000 0.500
Pr: 0.500 0.000 0.000
Si: 0.171 0.171 0.829
Si: 0.829 0.171 0.829
Si: 0.829 0.171 0.171
Si: 0.829 0.829 0.171
Si: 0.171 0.829 0.171
Si: 0.171 0.829 0.829
Si: 0.835 0.496 0.835
Si: 0.835 0.835 0.496
Si: 0.835 0.835 0.835
Si: 0.496 0.835 0.835
Si: 0.165 0.504 0.165
Si: 0.165 0.165 0.504
Si: 0.165 0.165 0.165
Si: 0.504 0.165 0.165
Si: 0.606 0.181 0.606
Si: 0.606 0.606 0.181
Si: 0.606 0.606 0.606
Si: 0.181 0.606 0.606
Si: 0.394 0.819 0.394
Si: 0.394 0.394 0.819
Si: 0.394 0.394 0.394
Si: 0.819 0.394 0.394
Pt: 0.917 0.249 0.917
Pt: 0.917 0.917 0.249
Pt: 0.917 0.917 0.917
Pt: 0.249 0.917 0.917
Pt: 0.083 0.751 0.083
Pt: 0.083 0.083 0.751
Pt: 0.083 0.083 0.083
Pt: 0.751 0.083 0.083
Pt: 0.692 0.925 0.692
Pt: 0.692 0.692 0.925
Pt: 0.692 0.692 0.692
Pt: 0.925 0.692 0.692
Pt: 0.308 0.075 0.308
Pt: 0.308 0.308 0.075
Pt: 0.308 0.308 0.308
Pt: 0.075 0.308 0.308
Pt: 0.374 0.374 0.626
Pt: 0.626 0.374 0.626
Pt: 0.626 0.374 0.374
Pt: 0.626 0.626 0.374
Pt: 0.374 0.626 0.374
Pt: 0.374 0.626 0.626
Pt: 0.748 0.421 0.084
Pt: 0.084 0.421 0.748
Pt: 0.748 0.421 0.748
Pt: 0.748 0.084 0.421
Pt: 0.748 0.748 0.421
Pt: 0.084 0.748 0.421
Pt: 0.084 0.748 0.748
Pt: 0.748 0.748 0.084
Pt: 0.748 0.084 0.748
Pt: 0.421 0.748 0.748
Pt: 0.421 0.084 0.748
Pt: 0.421 0.748 0.084
Pt: 0.252 0.579 0.916
Pt: 0.916 0.579 0.252
Pt: 0.252 0.579 0.252
Pt: 0.252 0.916 0.579
Pt: 0.252 0.252 0.579
Pt: 0.916 0.252 0.579
Pt: 0.916 0.252 0.252
Pt: 0.252 0.252 0.916
Pt: 0.252 0.916 0.252
Pt: 0.579 0.252 0.252
Pt: 0.579 0.916 0.252
Pt: 0.579 0.252 0.916

Results
ΔE_f (raw): -39.215 eV/f.u.
symmetry: Fm-3m (225)